Run a
A plane-wave DFT calculation with PBE was carried out for a geometry-optimized ThGa2Ge structure.

Lattice parameters (Å, degrees): 4.571 4.344 4.344 90.00 90.00 90.00
Fractional coordinates of all 4 atoms:
1 Ge 0.500 0.000 0.000
2 Ga 0.000 0.000 0.500
3 Ga 0.000 0.500 0.000
4 Th 0.500 0.500 0.500

Computed properties:
Crystal system: tetragonal
Space group: P4/mmm, No. 123
Calculated density (g/cm³): 8.55
Size of the total moment (Bohr magnetons per cell): 0.00


Run b
A plane-wave DFT calculation with PBE was carried out for a geometry-optimized ThGa2Ge structure.

Lattice parameters (Å, degrees): 5.147 5.147 4.876 58.14 58.14 60.00
Fractional coordinates of all 4 atoms:
1 Ge 0.000 0.000 0.000
2 Ga 0.241 0.241 0.278
3 Ga 0.759 0.759 0.722
4 Th 0.500 0.500 0.500

Computed properties:
Crystal system: trigonal
Space group: R-3m, No. 166
Calculated density (g/cm³): 8.32
Size of the total moment (Bohr magnetons per cell): 0.00


What are the relative energies? In kJ/mol of atoms: run a 0.0; run b 35.8.